First-principles (PBE+U) data for crystalline ErMgWO6 at its relaxed geometry, as listed in Alexandria via LeMat-Bulk.

The space group is P312 (No. 149) and the conventional cell measures 5.4573, 5.4573 and 4.4506 Å, with angles of 90.00, 90.00 and 120.00 degrees. Symmetry generates all atoms from Er at (0.0000, 0.0000, 0.0000), Mg at (0.3333, 0.6667, 0.5000), W at (0.6667, 0.3333, 0.0000) and O at (0.3724, 0.0254, 0.7617).

The calculation puts the density of states at the Fermi level at 3.90 states/eV per cell. Its crystal system is trigonal. As for the electronic total energy: -64.2 eV per formula unit.